[1]
Material: SmLuTh
Method: DFT, PBE
State: optimized geometry

Summary:
space-group type: No. 216
energy of formation from the pure elements: 0.836 eV/atom

a = 5.398 Å, b = 5.398 Å, c = 5.398 Å
α = 60.00°, β = 60.00°, γ = 60.00°
Fractional positions:
Sm (0.000, 0.000, 0.000)
Lu (0.250, 0.250, 0.250)
Th (0.750, 0.750, 0.750)

=====

[2]
Material: Li4CdIn2Ni
Method: DFT, PBE
State: optimized geometry

Summary:
space-group type: No. 115
E: -21.6 eV for the cell shown

a = 4.511 Å, b = 4.511 Å, c = 6.601 Å
α = 90.00°, β = 90.00°, γ = 90.00°
Fractional positions:
Li (0.500, 0.500, 0.000)
Li (0.000, 0.000, 0.500)
In (0.500, 0.000, 0.716)
Li (0.000, 0.500, 0.731)
Li (0.500, 0.000, 0.269)
In (0.000, 0.500, 0.284)
Ni (0.500, 0.500, 0.500)
Cd (0.000, 0.000, 0.000)

=====

[3]
Material: CdTeIr
Method: DFT, PBE
State: optimized geometry

Summary:
energy above the most stable polymorph in this dataset: 0.0 meV per atom
space-group type: No. 216

a = 4.546 Å, b = 4.546 Å, c = 4.546 Å
α = 60.00°, β = 60.00°, γ = 60.00°
Fractional positions:
Cd (0.250, 0.250, 0.250)
Ir (0.000, 0.000, 0.000)
Te (0.750, 0.750, 0.750)

=====

[4]
Material: ErZnAu
Method: DFT, PBE
State: optimized geometry

Summary:
space-group type: No. 216
energy of formation from the pure elements: -0.176 eV/atom

a = 4.711 Å, b = 4.711 Å, c = 4.711 Å
α = 60.00°, β = 60.00°, γ = 60.00°
Fractional positions:
Er (0.000, 0.000, 0.000)
Zn (0.750, 0.750, 0.750)
Au (0.250, 0.250, 0.250)

=====

Quick rundown of theoretical density, same order as above: 8.32 5.30 10.81 9.65 g/cm3